Entry 1:
This record from Alexandria via LeMat-Bulk describes PRu2Br after structural relaxation. The functional is GGA-PBE. Values from VASP.

Structure (Quantum ESPRESSO input):
```
&SYSTEM
  ibrav = 0, nat = 4, ntyp = 3
/
ATOMIC_SPECIES
Br 79.90 Br.upf
P 30.97 P.upf
Ru 101.07 Ru.upf
ATOMIC_POSITIONS crystal
Br 0.250 0.250 0.250
P 0.750 0.750 0.750
Ru 0.011 0.011 0.011
Ru 0.489 0.489 0.489
CELL_PARAMETERS angstrom
7.877 -0.034 -0.020
7.311 2.933 -0.020
7.311 1.395 2.580
```

Properties
E ... -24.880 eV/cell
Space-group type ... R-3m (166)
DOS(E_F) ... 3.9 states/eV per cell
M_tot ... 0.000 μB per atom
Energy relative to the elements, uncorrected ... 0.19 eV/atom
Energy above the lowest structure with this stoichiometry ... 294 meV per atom



Entry 2:
This record from Alexandria via LeMat-Bulk describes Cu2HgCl8 after structural relaxation. The functional is GGA-PBE. Values from VASP.

Structure (Quantum ESPRESSO input):
```
&SYSTEM
  ibrav = 0, nat = 11, ntyp = 3
/
ATOMIC_SPECIES
Cu 63.55 Cu.upf
Hg 200.59 Hg.upf
Cl 35.45 Cl.upf
ATOMIC_POSITIONS crystal
Cu 0.645 0.835 0.835
Cu 0.355 0.165 0.165
Hg 0.000 0.000 0.000
Cl 0.196 0.266 0.944
Cl 0.804 0.056 0.734
Cl 0.390 0.765 0.765
Cl 0.610 0.235 0.235
Cl 0.196 0.944 0.266
Cl 0.804 0.734 0.056
Cl 0.844 0.557 0.557
Cl 0.156 0.443 0.443
CELL_PARAMETERS angstrom
-3.058 -0.258 5.950
4.181 -4.842 4.245
3.477 5.307 4.323
```

Properties
E ... -27.089 eV/cell
Space-group type ... C2/m (12)
M_tot ... 0.197 μB per atom
Energy relative to the elements, uncorrected ... -0.35 eV/atom



Entry 3:
This record from Alexandria via LeMat-Bulk describes La2ZnCl after structural relaxation. The functional is GGA-PBE. Values from VASP.

Structure (Quantum ESPRESSO input):
```
&SYSTEM
  ibrav = 0, nat = 4, ntyp = 3
/
ATOMIC_SPECIES
Zn 65.41 Zn.upf
Cl 35.45 Cl.upf
La 138.91 La.upf
ATOMIC_POSITIONS crystal
Zn 0.000 0.000 0.375
Cl 0.500 0.500 0.875
La 0.000 0.000 0.875
La 0.500 0.500 0.375
CELL_PARAMETERS angstrom
-0.458 3.880 -1.741
0.404 -1.703 -3.903
-6.058 -0.833 -0.263
```

Properties
E ... -16.698 eV/cell
Space-group type ... P4/mmm (123)
DOS(E_F) ... 3.5 states/eV per cell
M_tot ... 0.000 μB per atom
Energy relative to the elements, uncorrected ... -0.93 eV/atom
Energy above the lowest structure with this stoichiometry ... 0 meV per atom



Entry 4:
This record from Alexandria via LeMat-Bulk describes Ca6Zn5Si after structural relaxation. The functional is GGA-PBE. Values from VASP.

Structure (Quantum ESPRESSO input):
```
&SYSTEM
  ibrav = 0, nat = 12, ntyp = 3
/
ATOMIC_SPECIES
Ca 40.08 Ca.upf
Si 28.09 Si.upf
Zn 65.41 Zn.upf
ATOMIC_POSITIONS crystal
Ca 0.836 0.750 0.328
Ca 0.836 0.250 0.328
Ca 0.500 0.245 0.000
Ca 0.500 0.755 0.000
Ca 0.164 0.750 0.672
Ca 0.164 0.250 0.672
Si 0.000 0.000 0.000
Zn 0.667 0.500 0.665
Zn 0.329 0.000 0.341
Zn 0.000 0.500 0.000
Zn 0.671 0.000 0.659
Zn 0.333 0.500 0.335
CELL_PARAMETERS angstrom
-2.334 1.219 4.412
-6.440 -2.390 -2.747
0.294 -6.464 4.934
```

Properties
E ... -27.038 eV/cell
Space-group type ... Cmmm (65)
DOS(E_F) ... 6.6 states/eV per cell
M_tot ... 0.000 μB per atom
Energy relative to the elements, uncorrected ... -0.27 eV/atom



Entry 5:
This record from Alexandria via LeMat-Bulk describes LaHgRu after structural relaxation. The functional is GGA-PBE. Values from VASP.

Structure (Quantum ESPRESSO input):
```
&SYSTEM
  ibrav = 0, nat = 3, ntyp = 3
/
ATOMIC_SPECIES
Hg 200.59 Hg.upf
La 138.91 La.upf
Ru 101.07 Ru.upf
ATOMIC_POSITIONS crystal
Hg 0.026 0.026 0.974
La 0.310 0.310 0.690
Ru 0.664 0.664 0.336
CELL_PARAMETERS angstrom
6.325 0.007 -0.007
5.378 3.326 0.000
0.946 0.259 3.309
```

Properties
E ... -14.524 eV/cell
Space-group type ... I4mm (107)
Energy relative to the elements ... -0.006 eV/atom
DOS(E_F) ... 2.6 states/eV per cell
M_tot ... 0.000 μB per atom



Entry 6:
This record from Alexandria via LeMat-Bulk describes LaGa2Si2 after structural relaxation. The functional is GGA-PBE. Values from VASP.

Structure (Quantum ESPRESSO input):
```
&SYSTEM
  ibrav = 0, nat = 5, ntyp = 3
/
ATOMIC_SPECIES
Si 28.09 Si.upf
Ga 69.72 Ga.upf
La 138.91 La.upf
ATOMIC_POSITIONS crystal
Si 0.391 0.391 0.217
Si 0.609 0.609 0.783
Ga 0.750 0.250 0.500
Ga 0.250 0.750 0.500
La 0.000 0.000 0.000
CELL_PARAMETERS angstrom
-0.535 3.063 -2.926
-3.635 1.183 1.902
0.730 5.655 2.671
```

Properties
E ... -23.424 eV/cell
Space-group type ... I4/mmm (139)
DOS(E_F) ... 2.3 states/eV per cell
M_tot ... 0.000 μB per atom
Energy relative to the elements, uncorrected ... -0.32 eV/atom